(1)
! PBE Pr3ZnAg, optimized geometry; values from VASP
&SYSTEM
  ibrav = 0, nat = 10, ntyp = 3
/
ATOMIC_SPECIES
Pr 140.91 Pr.upf
Zn 65.41 Zn.upf
Ag 107.87 Ag.upf
ATOMIC_POSITIONS angstrom
Pr 0.947 3.360 1.909
Pr 0.957 0.720 7.517
Pr 2.849 5.974 3.878
Pr 2.846 2.893 5.231
Pr 4.737 8.147 1.593
Pr 4.747 5.507 7.200
Zn 0.954 0.841 3.828
Zn 4.740 8.026 5.281
Ag 2.843 5.685 0.541
Ag 2.852 3.183 8.568
CELL_PARAMETERS angstrom
3.793 0.000 0.000
1.889 8.327 0.000
0.012 0.540 9.109
! Electronic total energy in eV per atom: -3.85
! Theoretical density in g/cm³: 6.879
! Total magnetic moment in μB per cell: 0.00

---

(2)
! PBE Tb5RuAu2, optimized geometry; values from VASP
&SYSTEM
  ibrav = 0, nat = 16, ntyp = 3
/
ATOMIC_SPECIES
Tb 158.93 Tb.upf
Ru 101.07 Ru.upf
Au 196.97 Au.upf
ATOMIC_POSITIONS angstrom
Tb 0.000 0.000 0.000
Tb 1.269 3.615 0.000
Tb 1.462 6.968 2.128
Tb 2.626 0.978 2.128
Tb 2.819 9.605 0.000
Tb 4.088 5.989 0.000
Tb 5.357 2.374 0.000
Tb 5.550 11.001 2.128
Tb 6.714 5.011 2.128
Tb 6.907 8.363 0.000
Ru 0.000 5.989 0.000
Ru 4.088 0.000 0.000
Au 0.475 9.918 2.128
Au 3.613 3.929 2.128
Au 4.563 8.050 2.128
Au 7.701 2.061 2.128
CELL_PARAMETERS angstrom
8.176 0.000 0.000
0.000 11.979 0.000
0.000 0.000 4.256
! Electronic total energy in eV per atom: -5.45
! Theoretical density in g/cm³: 10.276
! Total magnetic moment in μB per cell: 0.00

---

(3)
! PBE PmMgMnC, optimized geometry; values from VASP
&SYSTEM
  ibrav = 0, nat = 8, ntyp = 4
/
ATOMIC_SPECIES
Pm 145.00 Pm.upf
Mg 24.30 Mg.upf
Mn 54.94 Mn.upf
C 12.01 C.upf
ATOMIC_POSITIONS angstrom
Pm 0.918 0.918 2.280
Pm 2.753 2.753 8.439
Mg 0.918 2.753 5.359
Mg 2.753 0.918 5.359
Mn 0.918 2.753 0.000
Mn 2.753 0.918 0.000
C 0.918 0.918 9.924
C 2.753 2.753 0.794
CELL_PARAMETERS angstrom
3.670 0.000 0.000
0.000 3.670 0.000
0.000 0.000 10.719
! Electronic total energy in eV per atom: -6.11
! Theoretical density in g/cm³: 5.433
! Total magnetic moment in μB per cell: 1.60

---

(4)
! PBE Cs2RbBaAs, optimized geometry; values from VASP
&SYSTEM
  ibrav = 0, nat = 5, ntyp = 4
/
ATOMIC_SPECIES
Cs 132.91 Cs.upf
Rb 85.47 Rb.upf
Ba 137.33 Ba.upf
As 74.92 As.upf
ATOMIC_POSITIONS angstrom
Cs 0.000 3.726 0.000
Cs 3.726 0.000 0.000
Rb 0.000 0.000 3.204
Ba 3.726 3.726 3.204
As 3.726 3.726 0.000
CELL_PARAMETERS angstrom
7.451 0.000 0.000
0.000 7.451 0.000
0.000 0.000 6.409
! Electronic total energy in eV per atom: -2.09
! Theoretical density in g/cm³: 2.630
! Total magnetic moment in μB per cell: 0.00

---

(5)
! PBE Ba3PdAu, optimized geometry; values from VASP
&SYSTEM
  ibrav = 0, nat = 5, ntyp = 3
/
ATOMIC_SPECIES
Ba 137.33 Ba.upf
Pd 106.42 Pd.upf
Au 196.97 Au.upf
ATOMIC_POSITIONS angstrom
Ba 0.000 0.000 3.044
Ba 0.000 3.044 0.000
Ba 3.044 0.000 0.000
Pd 0.000 0.000 0.000
Au 3.044 3.044 3.044
CELL_PARAMETERS angstrom
6.088 0.000 0.000
0.000 6.088 0.000
0.000 0.000 6.088
! Electronic total energy in eV per atom: -3.10
! Theoretical density in g/cm³: 5.266
! Total magnetic moment in μB per cell: 0.00

---

(6)
! PBE Mg3W, optimized geometry; values from VASP
&SYSTEM
  ibrav = 0, nat = 4, ntyp = 2
/
ATOMIC_SPECIES
Mg 24.30 Mg.upf
W 183.84 W.upf
ATOMIC_POSITIONS angstrom
Mg -2.396 -1.383 0.931
Mg -2.396 1.383 1.861
Mg 0.000 2.767 0.931
W 0.000 0.000 0.000
CELL_PARAMETERS angstrom
4.792 2.767 0.931
-4.792 2.767 0.931
0.000 -5.533 0.931
! Electronic total energy in eV per atom: -4.06
! Theoretical density in g/cm³: 5.759
! Total magnetic moment in μB per cell: 0.00

---

(7)
! PBE NaBeBiO4, optimized geometry; values from VASP
&SYSTEM
  ibrav = 0, nat = 14, ntyp = 4
/
ATOMIC_SPECIES
Na 22.99 Na.upf
Be 9.01 Be.upf
Bi 208.98 Bi.upf
O 16.00 O.upf
ATOMIC_POSITIONS angstrom
Na 0.000 0.000 0.000
Na 0.000 0.000 3.056
Be 3.122 1.343 4.584
Be 3.122 -1.343 1.528
Bi 3.122 1.347 1.528
Bi 3.122 -1.347 4.584
O 3.122 2.384 3.304
O 3.122 2.384 5.865
O 1.822 0.259 4.584
O 1.822 -0.259 1.528
O 4.422 0.259 4.584
O 4.422 -0.259 1.528
O 3.122 -2.384 0.248
O 3.122 -2.384 2.808
CELL_PARAMETERS angstrom
3.122 -4.786 0.000
3.122 4.786 0.000
0.000 0.000 6.113
! Electronic total energy in eV per atom: -5.50
! Theoretical density in g/cm³: 5.546
! Total magnetic moment in μB per cell: 0.00
! Formation energy without anion corrections in eV/atom: -1.393

---

(8)
! PBE Pm3ScGe4, optimized geometry; values from VASP
&SYSTEM
  ibrav = 0, nat = 16, ntyp = 3
/
ATOMIC_SPECIES
Pm 145.00 Pm.upf
Sc 44.96 Sc.upf
Ge 72.64 Ge.upf
ATOMIC_POSITIONS angstrom
Pm 1.477 11.843 1.433
Pm 1.477 2.962 4.302
Pm 1.477 5.927 1.433
Pm 4.431 0.004 4.491
Pm 4.431 5.920 4.491
Pm 4.431 8.885 1.622
Sc 1.477 8.885 4.522
Sc 4.431 2.962 1.402
Ge 1.477 2.962 1.331
Ge 1.477 6.113 4.382
Ge 1.477 8.885 1.545
Ge 1.477 11.657 4.382
Ge 4.431 0.190 1.542
Ge 4.431 2.962 4.378
Ge 4.431 5.733 1.542
Ge 4.431 8.885 4.592
CELL_PARAMETERS angstrom
5.908 0.000 0.000
0.000 11.847 0.000
0.000 0.000 5.924
! Electronic total energy in eV per atom: -5.47
! Theoretical density in g/cm³: 6.172
! Total magnetic moment in μB per cell: 0.00